Entry 1:
Sr4GeN4 (GGA-PBE, optimized geometry); space-group type = Pnna; total energy = -197.70 eV per cell; excess energy over the best structure of this formula in the dataset = 0.070 eV per atom
1.0
6.1318 0.0000 0.0000
0.0000 11.9111 0.0000
0.0000 0.0000 9.9405
Sr Ge N
16 4 16
direct
0.1184 0.1259 0.1038
0.1184 0.3741 0.3962
0.1477 0.2500 0.7500
0.2500 0.0000 0.4303
0.2500 0.5000 0.0697
0.3523 0.7500 0.7500
0.3816 0.6259 0.3962
0.3816 0.8741 0.1038
0.6184 0.1259 0.8962
0.6184 0.3741 0.6038
0.6477 0.2500 0.2500
0.7500 0.0000 0.5697
0.7500 0.5000 0.9303
0.8523 0.7500 0.2500
0.8816 0.6259 0.6038
0.8816 0.8741 0.8962
0.2500 0.0000 0.7474
0.2500 0.5000 0.7526
0.7500 0.0000 0.2526
0.7500 0.5000 0.2474
0.0174 0.0721 0.8541
0.0174 0.4279 0.6459
0.0960 0.6115 0.8562
0.0960 0.8885 0.6438
0.4040 0.1115 0.6438
0.4040 0.3885 0.8562
0.4826 0.5721 0.6459
0.4826 0.9279 0.8541
0.5174 0.0721 0.1459
0.5174 0.4279 0.3541
0.5960 0.6115 0.1438
0.5960 0.8885 0.3562
0.9040 0.1115 0.3562
0.9040 0.3885 0.1438
0.9826 0.5721 0.3541
0.9826 0.9279 0.1459

---

Entry 2:
Sr2GeN2 (GGA-PBE, optimized geometry); space-group type = Cmc2_1; total energy = -54.57 eV per cell; excess energy over the best structure of this formula in the dataset = 0.139 eV per atom
1.0
1.7391 -8.7823 0.0000
1.7391 8.7823 0.0000
0.0000 0.0000 6.0680
Sr Ge N
4 2 4
direct
0.0711 0.9289 0.5000
0.2515 0.7485 0.8321
0.7485 0.2515 0.3321
0.9289 0.0711 0.0000
0.3981 0.6019 0.4718
0.6019 0.3981 0.9718
0.1479 0.8521 0.1360
0.3458 0.6542 0.1915
0.6542 0.3458 0.6915
0.8521 0.1479 0.6360

---

Entry 3:
SrGe3N3 (GGA-PBE, optimized geometry); space-group type = R-3; DOS at the Fermi energy = 8.99 states/eV per cell; total energy = -81.04 eV per cell
1.0
3.6099 2.0842 5.7224
-3.6099 2.0842 5.7224
0.0000 -4.1683 5.7224
Sr Ge N
2 6 6
direct
0.1574 0.1574 0.1574
0.8426 0.8426 0.8426
0.1148 0.4060 0.6562
0.3438 0.8852 0.5940
0.4060 0.6562 0.1148
0.5940 0.3438 0.8852
0.6562 0.1148 0.4060
0.8852 0.5940 0.3438
0.1307 0.6357 0.3567
0.3567 0.1307 0.6357
0.3643 0.6433 0.8693
0.6357 0.3567 0.1307
0.6433 0.8693 0.3643
0.8693 0.3643 0.6433

---

Entry 4:
Sr2GeN (GGA-PBE, optimized geometry); space-group type = I-42d; DOS at the Fermi energy = 5.73 states/eV per cell; total energy = -33.42 eV per cell
1.0
-3.7343 3.7343 3.9879
3.7343 -3.7343 3.9879
3.7343 3.7343 -3.9879
Sr Ge N
4 2 2
direct
0.0403 0.1250 0.4153
0.3750 0.9597 0.0847
0.7097 0.6250 0.5847
0.8750 0.2903 0.9153
0.2500 0.7500 0.5000
0.5000 0.5000 0.0000
0.0000 0.0000 0.0000
0.7500 0.2500 0.5000

---

Entry 5:
Sr2GeN3 (GGA-PBE, optimized geometry); space-group type = Cmcm; DOS at the Fermi energy = 3.60 states/eV per cell; total energy = -69.28 eV per cell; excess energy over the best structure of this formula in the dataset = 0.108 eV per atom
1.0
4.9505 -3.4948 0.0000
4.9505 3.4948 0.0000
0.0000 0.0000 5.3192
Sr Ge N
4 2 6
direct
0.0062 0.3163 0.2500
0.3163 0.0062 0.7500
0.6837 0.9938 0.2500
0.9938 0.6837 0.7500
0.4005 0.5995 0.2500
0.5995 0.4005 0.7500
0.1358 0.8642 0.2500
0.3617 0.3617 0.0000
0.3617 0.3617 0.5000
0.6383 0.6383 0.0000
0.6383 0.6383 0.5000
0.8642 0.1358 0.7500

---

Entry 6:
SrGe2N (GGA-PBE, optimized geometry); space-group type = I-42d; DOS at the Fermi energy = 4.19 states/eV per cell; total energy = -36.80 eV per cell
1.0
-3.5539 3.5539 3.2370
3.5539 -3.5539 3.2370
3.5539 3.5539 -3.2370
Sr Ge N
2 4 2
direct
0.0000 0.0000 0.0000
0.7500 0.2500 0.5000
0.2401 0.6250 0.1151
0.3750 0.4901 0.6151
0.5099 0.1250 0.8849
0.8750 0.7599 0.3849
0.2500 0.7500 0.5000
0.5000 0.5000 0.0000

---

Entry 7:
SrTc2GeN (GGA-PBE, optimized geometry); space-group type = P4/mmm; DOS at the Fermi energy = 9.21 states/eV per cell; total energy = -17.04 eV per cell
1.0
4.8141 0.0000 0.0000
0.0000 4.8141 0.0000
0.0000 0.0000 5.3802
Sr Tc Ge N
1 2 1 1
direct
0.0000 0.0000 0.0000
0.0000 0.5000 0.0000
0.5000 0.0000 0.0000
0.0000 0.0000 0.5000
0.5000 0.5000 0.5000

---

Entry 8:
SrTc2Ge2N (GGA-PBE, optimized geometry); space-group type = P4/mmm; DOS at the Fermi energy = 4.18 states/eV per cell; total energy = -41.98 eV per cell
1.0
4.1732 0.0000 0.0000
0.0000 4.1732 0.0000
0.0000 0.0000 5.6995
Sr Tc Ge N
1 2 2 1
direct
0.0000 0.0000 0.0000
0.0000 0.5000 0.5000
0.5000 0.0000 0.5000
0.5000 0.5000 0.2221
0.5000 0.5000 0.7779
0.0000 0.0000 0.5000